Record 1
# SiTeICl2 (PBE, relaxed)
# Uncorrected formation energy, eV per atom: 0.6462
# Energy above the most stable polymorph in this dataset, eV/f.u.: 3.47
data_SiTeICl2
_cell_length_a 5.330
_cell_length_b 5.330
_cell_length_c 5.864
_cell_angle_alpha 90.00
_cell_angle_beta 90.00
_cell_angle_gamma 90.00
_space_group_name_H-M_alt 'P 4/m m m'
_space_group_IT_number 123
_space_group_name_Hall '-P 4 2'
loop_
_atom_site_label
_atom_site_type_symbol
_atom_site_fract_x
_atom_site_fract_y
_atom_site_fract_z
Si1 Si 0.000 0.000 0.000
Te1 Te 0.500 0.500 0.000
I1 I 0.000 0.000 0.500
Cl1 Cl 0.000 0.500 0.500

Record 2
# TlAsBr (PBE, relaxed)
# Uncorrected formation energy, eV per atom: 0.1813
# Energy above the most stable polymorph in this dataset, eV/f.u.: 1.36
data_TlAsBr
_cell_length_a 7.094
_cell_length_b 7.094
_cell_length_c 7.094
_cell_angle_alpha 90.00
_cell_angle_beta 90.00
_cell_angle_gamma 90.00
_space_group_name_H-M_alt 'F -4 3 m'
_space_group_IT_number 216
_space_group_name_Hall 'F -4 2 3'
loop_
_atom_site_label
_atom_site_type_symbol
_atom_site_fract_x
_atom_site_fract_y
_atom_site_fract_z
Tl1 Tl 0.000 0.000 0.000
As1 As 0.250 0.250 0.750
Br1 Br 0.000 0.000 0.500

Record 3
# LaTbAgPd (PBE, relaxed)
# DFT formation energy, eV per formula unit: -2.17
# Energy above the most stable polymorph in this dataset, eV/f.u.: 0.00
data_LaTbAgPd
_cell_length_a 4.854
_cell_length_b 3.887
_cell_length_c 10.875
_cell_angle_alpha 90.00
_cell_angle_beta 90.00
_cell_angle_gamma 90.00
_space_group_name_H-M_alt 'A m m 2'
_space_group_IT_number 38
loop_
_space_group_symop_operation_xyz
'x,y,z'
'-x,-y,z'
'-x,y,z'
'x,-y,z'
'x,y+1/2,z+1/2'
'-x,-y+1/2,z+1/2'
'-x,y+1/2,z+1/2'
'x,-y+1/2,z+1/2'
loop_
_atom_site_label
_atom_site_type_symbol
_atom_site_fract_x
_atom_site_fract_y
_atom_site_fract_z
La1 La 0.000 0.000 0.000
Tb1 Tb 0.500 0.000 0.277
Ag1 Ag 0.500 0.000 0.562
Pd1 Pd 0.000 0.000 0.726

Record 4
# Li3Pa3CrS8 (PBE, relaxed)
# Uncorrected formation energy, eV per atom: -1.3422
data_Li3Pa3CrS8
_cell_length_a 7.6234
_cell_length_b 7.6234
_cell_length_c 18.7906
_cell_angle_alpha 90.00
_cell_angle_beta 90.00
_cell_angle_gamma 120.00
_space_group_name_H-M_alt 'R -3 m'
_space_group_IT_number 166
_space_group_name_Hall '-R 3 2"'
loop_
_atom_site_label
_atom_site_type_symbol
_atom_site_fract_x
_atom_site_fract_y
_atom_site_fract_z
Li1 Li 0.0000 0.5000 0.0000
Pa1 Pa 0.0000 0.5000 0.5000
Cr1 Cr 0.0000 0.0000 0.5000
S1 S 0.0000 0.0000 0.2555
S2 S 0.0250 0.5125 0.2462

Record 5
# Tl2PSe4 (PBE, relaxed)
# Uncorrected formation energy, eV per atom: -0.0748
# Energy above the most stable polymorph in this dataset, eV/f.u.: 0.85
data_Tl2PSe4
_cell_length_a 10.813
_cell_length_b 13.683
_cell_length_c 12.380
_cell_angle_alpha 90.00
_cell_angle_beta 90.00
_cell_angle_gamma 90.00
_space_group_name_H-M_alt 'C c c e'
_space_group_IT_number 68
loop_
_space_group_symop_operation_xyz
'x,y,z'
'-x,-y,-z'
'-x+1/2,-y,z'
'x+1/2,y,-z'
'x+1/2,-y,-z+1/2'
'-x+1/2,y,z+1/2'
'-x,y,-z+1/2'
'x,-y,z+1/2'
'x+1/2,y+1/2,z'
'-x+1/2,-y+1/2,-z'
'-x,-y+1/2,z'
'x,y+1/2,-z'
'x,-y+1/2,-z+1/2'
'-x,y+1/2,z+1/2'
'-x+1/2,y+1/2,-z+1/2'
'x+1/2,-y+1/2,z+1/2'
loop_
_atom_site_label
_atom_site_type_symbol
_atom_site_fract_x
_atom_site_fract_y
_atom_site_fract_z
Tl1 Tl 0.000 0.076 0.250
Tl2 Tl 0.192 0.250 0.750
P1 P 0.250 0.000 0.060
Se1 Se 0.048 0.091 0.593
Se2 Se 0.172 0.131 0.973

Record 6
# RbSc2CdGa (PBE, relaxed)
# DFT formation energy, eV per formula unit: 7.55
data_RbSc2CdGa
_cell_length_a 5.279
_cell_length_b 5.279
_cell_length_c 5.597
_cell_angle_alpha 90.00
_cell_angle_beta 90.00
_cell_angle_gamma 90.00
_space_group_name_H-M_alt 'P 4/m m m'
_space_group_IT_number 123
_space_group_name_Hall '-P 4 2'
loop_
_atom_site_label
_atom_site_type_symbol
_atom_site_fract_x
_atom_site_fract_y
_atom_site_fract_z
Rb1 Rb 0.000 0.000 0.000
Sc1 Sc 0.000 0.500 0.000
Cd1 Cd 0.000 0.000 0.500
Ga1 Ga 0.500 0.500 0.500

Record 7
# Er2GaTc (PBE, relaxed)
# DFT formation energy, eV per formula unit: -1.23
data_Er2GaTc
_cell_length_a 3.518
_cell_length_b 3.518
_cell_length_c 6.824
_cell_angle_alpha 90.00
_cell_angle_beta 90.00
_cell_angle_gamma 90.00
_space_group_name_H-M_alt 'P 4/m m m'
_space_group_IT_number 123
_space_group_name_Hall '-P 4 2'
loop_
_atom_site_label
_atom_site_type_symbol
_atom_site_fract_x
_atom_site_fract_y
_atom_site_fract_z
Er1 Er 0.000 0.000 0.234
Ga1 Ga 0.500 0.500 0.500
Tc1 Tc 0.500 0.500 0.000

Record 8
# KNa3Cu4Cl12 (PBE, relaxed)
# Uncorrected formation energy, eV per atom: -0.9647
data_KNa3Cu4Cl12
_cell_length_a 13.7102
_cell_length_b 13.7102
_cell_length_c 11.1938
_cell_angle_alpha 90.00
_cell_angle_beta 90.00
_cell_angle_gamma 120.00
_space_group_name_H-M_alt 'R 3 2'
_space_group_IT_number 155
_space_group_name_Hall 'R 3 2"'
loop_
_atom_site_label
_atom_site_type_symbol
_atom_site_fract_x
_atom_site_fract_y
_atom_site_fract_z
K1 K 0.0000 0.0000 0.0000
Na1 Na 0.0000 0.5582 0.0000
Cu1 Cu 0.0000 0.0000 0.5000
Cu2 Cu 0.0000 0.4322 0.5000
Cl1 Cl 0.0000 0.5919 0.5000
Cl2 Cl 0.0000 0.8421 0.5000
Cl3 Cl 0.0378 0.2004 0.1810

Record 9
# Nb2SbN (PBE, relaxed)
# Uncorrected formation energy, eV per atom: 0.5338
# Energy above the most stable polymorph in this dataset, eV/f.u.: 4.24
data_Nb2SbN
_cell_length_a 6.374
_cell_length_b 6.374
_cell_length_c 6.374
_cell_angle_alpha 90.00
_cell_angle_beta 90.00
_cell_angle_gamma 90.00
_space_group_name_H-M_alt 'F m -3 m'
_space_group_IT_number 225
_space_group_name_Hall '-F 4 2 3'
loop_
_atom_site_label
_atom_site_type_symbol
_atom_site_fract_x
_atom_site_fract_y
_atom_site_fract_z
Nb1 Nb 0.250 0.250 0.250
Sb1 Sb 0.000 0.000 0.000
N1 N 0.000 0.000 0.500

Record 10
# PmScPt (PBE, relaxed)
# DFT formation energy, eV per formula unit: -2.70
# Energy above the most stable polymorph in this dataset, eV/f.u.: 0.00
data_PmScPt
_cell_length_a 4.718
_cell_length_b 12.493
_cell_length_c 7.229
_cell_angle_alpha 90.00
_cell_angle_beta 90.00
_cell_angle_gamma 90.00
_space_group_name_H-M_alt 'A m m 2'
_space_group_IT_number 38
loop_
_space_group_symop_operation_xyz
'x,y,z'
'-x,-y,z'
'-x,y,z'
'x,-y,z'
'x,y+1/2,z+1/2'
'-x,-y+1/2,z+1/2'
'-x,y+1/2,z+1/2'
'x,-y+1/2,z+1/2'
loop_
_atom_site_label
_atom_site_type_symbol
_atom_site_fract_x
_atom_site_fract_y
_atom_site_fract_z
Pm1 Pm 0.000 0.000 0.000
Pm2 Pm 0.000 0.205 0.387
Sc1 Sc 0.500 0.000 0.335
Sc2 Sc 0.500 0.128 0.719
Pt1 Pt 0.000 0.000 0.591
Pt2 Pt 0.500 0.166 0.091

Record 11
# Ac2CdCo (PBE, relaxed)
# DFT formation energy, eV per formula unit: 0.17
# Energy above the most stable polymorph in this dataset, eV/f.u.: 0.60
data_Ac2CdCo
_cell_length_a 7.795
_cell_length_b 7.795
_cell_length_c 7.795
_cell_angle_alpha 90.00
_cell_angle_beta 90.00
_cell_angle_gamma 90.00
_space_group_name_H-M_alt 'F m -3 m'
_space_group_IT_number 225
_space_group_name_Hall '-F 4 2 3'
loop_
_atom_site_label
_atom_site_type_symbol
_atom_site_fract_x
_atom_site_fract_y
_atom_site_fract_z
Ac1 Ac 0.250 0.250 0.250
Cd1 Cd 0.000 0.000 0.000
Co1 Co 0.000 0.000 0.500

Record 12
# KMgAg2 (PBE, relaxed)
# DFT formation energy, eV per formula unit: 0.82
data_KMgAg2
_cell_length_a 3.2671
_cell_length_b 3.2671
_cell_length_c 31.5469
_cell_angle_alpha 90.00
_cell_angle_beta 90.00
_cell_angle_gamma 120.00
_space_group_name_H-M_alt 'R 3 m'
_space_group_IT_number 160
_space_group_name_Hall 'R 3 -2"'
loop_
_atom_site_label
_atom_site_type_symbol
_atom_site_fract_x
_atom_site_fract_y
_atom_site_fract_z
K1 K 0.0000 0.0000 0.0000
Mg1 Mg 0.0000 0.0000 0.7712
Ag1 Ag 0.0000 0.0000 0.2441
Ag2 Ag 0.0000 0.0000 0.5075

Record 13
# GdZnGe4 (PBE, relaxed)
# DFT formation energy, eV per formula unit: -0.91
data_GdZnGe4
_cell_length_a 7.848
_cell_length_b 7.848
_cell_length_c 7.848
_cell_angle_alpha 90.00
_cell_angle_beta 90.00
_cell_angle_gamma 90.00
_space_group_name_H-M_alt 'F -4 3 m'
_space_group_IT_number 216
_space_group_name_Hall 'F -4 2 3'
loop_
_atom_site_label
_atom_site_type_symbol
_atom_site_fract_x
_atom_site_fract_y
_atom_site_fract_z
Gd1 Gd 0.000 0.000 0.000
Zn1 Zn 0.250 0.250 0.250
Ge1 Ge 0.125 0.125 0.625

Record 14
# SnH (PBE, relaxed)
# Energy above the most stable polymorph in this dataset, eV/f.u.: 0.64
data_SnH
_cell_length_a 8.764
_cell_length_b 8.764
_cell_length_c 3.745
_cell_angle_alpha 90.00
_cell_angle_beta 90.00
_cell_angle_gamma 90.00
_space_group_name_H-M_alt 'P 4/m'
_space_group_IT_number 83
loop_
_space_group_symop_operation_xyz
'x,y,z'
'-x,-y,-z'
'-y,x,z'
'y,-x,-z'
'-x,-y,z'
'x,y,-z'
'y,-x,z'
'-y,x,-z'
loop_
_atom_site_label
_atom_site_type_symbol
_atom_site_fract_x
_atom_site_fract_y
_atom_site_fract_z
Sn1 Sn 0.038 0.239 0.000
Sn2 Sn 0.201 0.591 0.500
H1 H 0.251 0.368 0.500
H2 H 0.280 0.572 0.000

Record 15
# Pm6TePb3 (PBE, relaxed)
# Uncorrected formation energy, eV per atom: -0.5165
data_Pm6TePb3
_cell_length_a 11.771
_cell_length_b 4.413
_cell_length_c 13.491
_cell_angle_alpha 90.00
_cell_angle_beta 109.15
_cell_angle_gamma 90.00
_space_group_name_H-M_alt 'P 1 21/m 1'
_space_group_IT_number 11
loop_
_space_group_symop_operation_xyz
'x,y,z'
'-x,-y,-z'
'-x,y+1/2,-z'
'x,-y+1/2,z'
loop_
_atom_site_label
_atom_site_type_symbol
_atom_site_fract_x
_atom_site_fract_y
_atom_site_fract_z
Pm1 Pm 0.017 0.250 0.359
Pm2 Pm 0.090 0.250 0.904
Pm3 Pm 0.244 0.750 0.323
Pm4 Pm 0.341 0.750 0.780
Pm5 Pm 0.350 0.750 0.121
Pm6 Pm 0.386 0.250 0.545
Te1 Te 0.440 0.250 0.316
Pb1 Pb 0.117 0.250 0.145
Pb2 Pb 0.178 0.750 0.530
Pb3 Pb 0.391 0.250 0.960

Record 16
# Pr2SmDyBi4 (PBE, relaxed)
# DFT formation energy, eV per formula unit: -7.38
data_Pr2SmDyBi4
_cell_length_a 7.929
_cell_length_b 4.583
_cell_length_c 7.934
_cell_angle_alpha 90.00
_cell_angle_beta 109.48
_cell_angle_gamma 90.00
_space_group_name_H-M_alt 'P 1 2/m 1'
_space_group_IT_number 10
loop_
_space_group_symop_operation_xyz
'x,y,z'
'-x,-y,-z'
'-x,y,-z'
'x,-y,z'
loop_
_atom_site_label
_atom_site_type_symbol
_atom_site_fract_x
_atom_site_fract_y
_atom_site_fract_z
Pr1 Pr 0.000 0.000 0.000
Pr2 Pr 0.000 0.500 0.500
Sm1 Sm 0.500 0.000 0.500
Dy1 Dy 0.500 0.500 0.000
Bi1 Bi 0.257 0.500 0.250
Bi2 Bi 0.259 0.000 0.755

Record 17
# Pr10Tm6Th (PBE, relaxed)
# DFT formation energy, eV per formula unit: 2.48
data_Pr10Tm6Th
_cell_length_a 9.8427
_cell_length_b 9.8427
_cell_length_c 6.9846
_cell_angle_alpha 90.00
_cell_angle_beta 90.00
_cell_angle_gamma 120.00
_space_group_name_H-M_alt 'P -3 1 m'
_space_group_IT_number 162
_space_group_name_Hall '-P 3 2'
loop_
_atom_site_label
_atom_site_type_symbol
_atom_site_fract_x
_atom_site_fract_y
_atom_site_fract_z
Pr1 Pr 0.0000 0.2805 0.3286
Pr2 Pr 0.3333 0.6667 0.0000
Pr3 Pr 0.3333 0.6667 0.5000
Tm1 Tm 0.0000 0.3575 0.8307
Th1 Th 0.0000 0.0000 0.0000

Record 18
# Li2CrW (PBE, relaxed)
# DFT formation energy, eV per formula unit: 2.26
# Energy above the most stable polymorph in this dataset, eV/f.u.: 0.95
data_Li2CrW
_cell_length_a 8.753
_cell_length_b 2.465
_cell_length_c 5.442
_cell_angle_alpha 90.00
_cell_angle_beta 92.13
_cell_angle_gamma 90.00
_space_group_name_H-M_alt 'C 1 m 1'
_space_group_IT_number 8
loop_
_space_group_symop_operation_xyz
'x,y,z'
'x,-y,z'
'x+1/2,y+1/2,z'
'x+1/2,-y+1/2,z'
loop_
_atom_site_label
_atom_site_type_symbol
_atom_site_fract_x
_atom_site_fract_y
_atom_site_fract_z
Li1 Li 0.000 0.000 0.000
Li2 Li 0.250 0.000 0.771
Cr1 Cr 0.249 0.500 0.286
W1 W 0.000 0.500 0.481

Record 19
# ZnHgMo2 (PBE, relaxed)
# DFT formation energy, eV per formula unit: 1.58
# Energy above the most stable polymorph in this dataset, eV/f.u.: 0.50
data_ZnHgMo2
_cell_length_a 2.8583
_cell_length_b 2.8583
_cell_length_c 29.2452
_cell_angle_alpha 90.00
_cell_angle_beta 90.00
_cell_angle_gamma 120.00
_space_group_name_H-M_alt 'R 3 m'
_space_group_IT_number 160
_space_group_name_Hall 'R 3 -2"'
loop_
_atom_site_label
_atom_site_type_symbol
_atom_site_fract_x
_atom_site_fract_y
_atom_site_fract_z
Zn1 Zn 0.0000 0.0000 0.0000
Hg1 Hg 0.0000 0.0000 0.7559
Mo1 Mo 0.0000 0.0000 0.2565
Mo2 Mo 0.0000 0.0000 0.5109

Record 20
# Na3Pu2CrTe6 (PBE, relaxed)
# Uncorrected formation energy, eV per atom: -0.8281
data_Na3Pu2CrTe6
_cell_length_a 7.531
_cell_length_b 13.055
_cell_length_c 7.908
_cell_angle_alpha 90.00
_cell_angle_beta 108.61
_cell_angle_gamma 90.00
_space_group_name_H-M_alt 'C 1 2/m 1'
_space_group_IT_number 12
loop_
_space_group_symop_operation_xyz
'x,y,z'
'-x,-y,-z'
'-x,y,-z'
'x,-y,z'
'x+1/2,y+1/2,z'
'-x+1/2,-y+1/2,-z'
'-x+1/2,y+1/2,-z'
'x+1/2,-y+1/2,z'
loop_
_atom_site_label
_atom_site_type_symbol
_atom_site_fract_x
_atom_site_fract_y
_atom_site_fract_z
Na1 Na 0.000 0.000 0.000
Na2 Na 0.000 0.328 0.000
Pu1 Pu 0.000 0.166 0.500
Cr1 Cr 0.000 0.500 0.500
Te1 Te 0.229 0.345 0.724
Te2 Te 0.234 0.500 0.277